<P>
ErLu2Cu4Si2Ge2 after structural relaxation, computed with PBE.

Unit cell a=7.8379 b=7.8379 c=7.8379 alpha=149.52 beta=130.47 gamma=59.27
Element x y z (fractional)
Er  0.0000  0.0000  0.0000
Lu  0.3718  0.8718  0.5000
Lu  0.6282  0.1282  0.5000
Cu  0.0274  0.3356  0.6918
Cu  0.3562  0.6644  0.6918
Cu  0.6438  0.3356  0.3082
Cu  0.9726  0.6644  0.3082
Si  0.3164  0.5000  0.8164
Si  0.6836  0.5000  0.1836
Ge  0.2177  0.2177  0.0000
Ge  0.7823  0.7823  0.0000

As for the magnetization: 0.00 μB per formula unit. As for the space group: Immm.

<Q>
ErLu2Cu4Si2Ge2 after structural relaxation, computed with PBE.

Unit cell a=7.8384 b=7.8384 c=7.8384 alpha=149.83 beta=130.33 gamma=59.23
Element x y z (fractional)
Er  0.0000  0.0000  0.0000
Lu  0.3709  0.8709  0.5000
Lu  0.6291  0.1291  0.5000
Cu  0.0170  0.3252  0.6919
Cu  0.3667  0.6748  0.6919
Cu  0.6333  0.3252  0.3081
Cu  0.9830  0.6748  0.3081
Si  0.2173  0.2173  0.0000
Si  0.7827  0.7827  0.0000
Ge  0.3071  0.5000  0.8071
Ge  0.6929  0.5000  0.1929

As for the magnetization: 0.00 μB per formula unit. As for the space group: Immm.

Which of them is the most stable? Correct choice: <Q>.

<P>
ErSc2Cu4Si2Ge2 after structural relaxation, computed with PBE.

Unit cell a=7.7170 b=7.7170 c=7.7170 alpha=149.75 beta=129.56 gamma=59.96
Element x y z (fractional)
Er  0.0000  0.0000  0.0000
Sc  0.3747  0.8747  0.5000
Sc  0.6253  0.1253  0.5000
Cu  0.0271  0.3338  0.6933
Cu  0.3595  0.6662  0.6933
Cu  0.6405  0.3338  0.3067
Cu  0.9729  0.6662  0.3067
Si  0.3194  0.5000  0.8194
Si  0.6806  0.5000  0.1806
Ge  0.2209  0.2209  0.0000
Ge  0.7791  0.7791  0.0000

As for the magnetization: 0.00 μB per formula unit. As for the space group: Immm.

<Q>
ErSc2Cu4Si2Ge2 after structural relaxation, computed with PBE.

Unit cell a=7.7151 b=7.7151 c=7.7151 alpha=150.00 beta=129.42 gamma=59.93
Element x y z (fractional)
Er  0.0000  0.0000  0.0000
Sc  0.3723  0.8723  0.5000
Sc  0.6277  0.1277  0.5000
Cu  0.0172  0.3246  0.6927
Cu  0.3681  0.6754  0.6927
Cu  0.6319  0.3246  0.3073
Cu  0.9828  0.6754  0.3073
Si  0.2205  0.2205  0.0000
Si  0.7795  0.7795  0.0000
Ge  0.3115  0.5000  0.8115
Ge  0.6885  0.5000  0.1885

As for the magnetization: 0.00 μB per formula unit. As for the space group: Immm.

Which of them is the most stable? Correct choice: <Q>.

<P>
Er3Cu4Si2Ge2 after structural relaxation, computed with PBE.

Unit cell a=7.8866 b=7.8866 c=7.8866 alpha=149.75 beta=130.66 gamma=58.98
Element x y z (fractional)
Er  0.0000  0.0000  0.0000
Er  0.3707  0.8707  0.5000
Er  0.6293  0.1293  0.5000
Cu  0.0169  0.3257  0.6912
Cu  0.3656  0.6743  0.6912
Cu  0.6344  0.3257  0.3088
Cu  0.9831  0.6743  0.3088
Si  0.2165  0.2165  0.0000
Si  0.7835  0.7835  0.0000
Ge  0.3067  0.5000  0.8067
Ge  0.6933  0.5000  0.1933

As for the magnetization: 0.00 μB per formula unit. As for the space group: Immm.

<Q>
Er3Cu4Si2Ge2 after structural relaxation, computed with PBE.

Unit cell a=7.8777 b=7.8777 c=7.8777 alpha=149.46 beta=130.72 gamma=59.10
Element x y z (fractional)
Er  0.0000  0.0000  0.0000
Er  0.3708  0.8708  0.5000
Er  0.6292  0.1292  0.5000
Cu  0.0268  0.3360  0.6908
Cu  0.3548  0.6640  0.6908
Cu  0.6452  0.3360  0.3092
Cu  0.9732  0.6640  0.3092
Si  0.3160  0.5000  0.8160
Si  0.6840  0.5000  0.1840
Ge  0.2168  0.2168  0.0000
Ge  0.7832  0.7832  0.0000

As for the magnetization: 0.00 μB per formula unit. As for the space group: Immm.

Which of them is the most stable? Correct choice: <P>.

<P>
Tb2ErCu4Si2Ge2 after structural relaxation, computed with PBE.

Unit cell a=7.9164 b=7.9164 c=7.9164 alpha=149.29 beta=131.08 gamma=58.88
Element x y z (fractional)
Tb  0.1298  0.1298  0.0000
Tb  0.8702  0.8702  0.0000
Er  0.5000  0.0000  0.5000
Cu  0.1461  0.3365  0.8097
Cu  0.4732  0.6635  0.8097
Cu  0.5268  0.3365  0.1903
Cu  0.8539  0.6635  0.1903
Si  0.1849  0.5000  0.6849
Si  0.8151  0.5000  0.3151
Ge  0.2844  0.7844  0.5000
Ge  0.7156  0.2156  0.5000

As for the magnetization: 0.00 μB per formula unit. As for the space group: Immm.

<Q>
Tb2ErCu4Si2Ge2 after structural relaxation, computed with PBE.

Unit cell a=7.9382 b=7.9382 c=7.9382 alpha=149.70 beta=131.02 gamma=58.69
Element x y z (fractional)
Tb  0.1301  0.1301  0.0000
Tb  0.8699  0.8699  0.0000
Er  0.5000  0.0000  0.5000
Cu  0.1364  0.3266  0.8098
Cu  0.4832  0.6734  0.8098
Cu  0.5168  0.3266  0.1902
Cu  0.8636  0.6734  0.1902
Si  0.2844  0.7844  0.5000
Si  0.7156  0.2156  0.5000
Ge  0.1942  0.5000  0.6942
Ge  0.8058  0.5000  0.3058

As for the magnetization: 0.00 μB per formula unit. As for the space group: Immm.

Which of them is the most stable? Correct choice: <Q>.

<P>
YEr2Cu4Si2Ge2 after structural relaxation, computed with PBE.

Unit cell a=7.9038 b=7.9038 c=7.9038 alpha=149.81 beta=130.60 gamma=58.99
Element x y z (fractional)
Y  0.0000  0.0000  0.0000
Er  0.3704  0.8704  0.5000
Er  0.6296  0.1296  0.5000
Cu  0.0163  0.3253  0.6910
Cu  0.3657  0.6747  0.6910
Cu  0.6343  0.3253  0.3090
Cu  0.9837  0.6747  0.3090
Si  0.2172  0.2172  0.0000
Si  0.7828  0.7828  0.0000
Ge  0.3082  0.5000  0.8082
Ge  0.6918  0.5000  0.1918

As for the magnetization: 0.00 μB per formula unit. As for the space group: Immm.

<Q>
YEr2Cu4Si2Ge2 after structural relaxation, computed with PBE.

Unit cell a=7.9026 b=7.9026 c=7.9026 alpha=149.55 beta=130.73 gamma=59.03
Element x y z (fractional)
Y  0.0000  0.0000  0.0000
Er  0.3710  0.8710  0.5000
Er  0.6290  0.1290  0.5000
Cu  0.0274  0.3360  0.6914
Cu  0.3553  0.6640  0.6914
Cu  0.6447  0.3360  0.3086
Cu  0.9726  0.6640  0.3086
Si  0.3171  0.5000  0.8171
Si  0.6829  0.5000  0.1829
Ge  0.2175  0.2175  0.0000
Ge  0.7825  0.7825  0.0000

As for the magnetization: 0.00 μB per formula unit. As for the space group: Immm.

Which of them is the most stable? Correct choice: <P>.

<P>
ErCuGeTe3 after structural relaxation, computed with PBE.

Unit cell a=12.0536 b=4.2628 c=12.1303 alpha=90.00 beta=90.00 gamma=90.00
Element x y z (fractional)
Er  0.0301  0.2500  0.1890
Er  0.4699  0.7500  0.6890
Er  0.5301  0.2500  0.3110
Er  0.9699  0.7500  0.8110
Cu  0.2343  0.7500  0.2899
Cu  0.2657  0.2500  0.7899
Cu  0.7343  0.7500  0.2101
Cu  0.7657  0.2500  0.7101
Ge  0.1851  0.2500  0.4805
Ge  0.3149  0.7500  0.9805
Ge  0.6851  0.2500  0.0195
Ge  0.8149  0.7500  0.5195
Te  0.0383  0.7500  0.3768
Te  0.1052  0.2500  0.9374
Te  0.2089  0.7500  0.6759
Te  0.2911  0.2500  0.1759
Te  0.3948  0.7500  0.4374
Te  0.4617  0.2500  0.8768
Te  0.5383  0.7500  0.1232
Te  0.6052  0.2500  0.5626
Te  0.7089  0.7500  0.8241
Te  0.7911  0.2500  0.3241
Te  0.8948  0.7500  0.0626
Te  0.9617  0.2500  0.6232

As for the magnetization: 0.00 μB per formula unit. As for the space group: Pnma.

<Q>
ErCuGeTe3 after structural relaxation, computed with PBE.

Unit cell a=7.4142 b=7.4142 c=10.9903 alpha=90.00 beta=90.00 gamma=147.68
Element x y z (fractional)
Er  0.0000  0.0000  0.0000
Er  0.0000  0.0000  0.5000
Cu  0.4750  0.5250  0.7500
Cu  0.5250  0.4750  0.2500
Ge  0.2214  0.7786  0.2500
Ge  0.7786  0.2214  0.7500
Te  0.0943  0.9057  0.7500
Te  0.3509  0.6491  0.5698
Te  0.3509  0.6491  0.9302
Te  0.6491  0.3509  0.0698
Te  0.6491  0.3509  0.4302
Te  0.9057  0.0943  0.2500

As for the magnetization: 0.00 μB per formula unit. As for the space group: Cmcm.

Which of them is the most stable? Correct choice: <Q>.

<P>
HoErCu2 after structural relaxation, computed with PBE.

Unit cell a=4.4553 b=7.0607 c=5.3258 alpha=90.00 beta=90.00 gamma=90.00
Element x y z (fractional)
Ho  0.0000  0.0682  0.0000
Ho  0.5000  0.9318  0.5000
Er  0.0000  0.5682  0.2315
Er  0.5000  0.4318  0.7315
Cu  0.0000  0.2174  0.4929
Cu  0.0000  0.7173  0.7387
Cu  0.5000  0.2827  0.2387
Cu  0.5000  0.7826  0.9929

As for the magnetization: 0.00 μB per formula unit. As for the space group: Pmn2_1.

<Q>
HoErCu2 after structural relaxation, computed with PBE.

Unit cell a=4.4574 b=3.6502 c=10.2026 alpha=90.00 beta=90.00 gamma=90.00
Element x y z (fractional)
Ho  0.0000  0.0000  0.0000
Ho  0.0000  0.5000  0.5000
Er  0.5000  0.0000  0.7202
Er  0.5000  0.5000  0.2202
Cu  0.0000  0.0000  0.2869
Cu  0.0000  0.5000  0.7869
Cu  0.5000  0.0000  0.4323
Cu  0.5000  0.5000  0.9323

As for the magnetization: 0.01 μB per formula unit. As for the space group: Amm2.

Which of them is the most stable? Correct choice: <P>.

<P>
ErCuIr after structural relaxation, computed with PBE.

Unit cell a=6.2730 b=6.2730 c=6.2730 alpha=90.00 beta=90.00 gamma=90.00
Element x y z (fractional)
Er  0.0000  0.0000  0.0000
Er  0.0000  0.5000  0.5000
Er  0.5000  0.0000  0.5000
Er  0.5000  0.5000  0.0000
Cu  0.0000  0.0000  0.5000
Cu  0.0000  0.5000  0.0000
Cu  0.5000  0.0000  0.0000
Cu  0.5000  0.5000  0.5000
Ir  0.2500  0.2500  0.7500
Ir  0.2500  0.7500  0.2500
Ir  0.7500  0.2500  0.2500
Ir  0.7500  0.7500  0.7500

As for the magnetization: 0.00 μB per formula unit. As for the space group: F-43m.

<Q>
ErCuIr after structural relaxation, computed with PBE.

Unit cell a=6.3182 b=6.3182 c=6.3182 alpha=90.00 beta=90.00 gamma=90.00
Element x y z (fractional)
Er  0.0000  0.0000  0.0000
Er  0.0000  0.5000  0.5000
Er  0.5000  0.0000  0.5000
Er  0.5000  0.5000  0.0000
Cu  0.2500  0.2500  0.7500
Cu  0.2500  0.7500  0.2500
Cu  0.7500  0.2500  0.2500
Cu  0.7500  0.7500  0.7500
Ir  0.2500  0.2500  0.2500
Ir  0.2500  0.7500  0.7500
Ir  0.7500  0.2500  0.7500
Ir  0.7500  0.7500  0.2500

As for the magnetization: 0.00 μB per formula unit. As for the space group: F-43m.

Which of them is the most stable? Correct choice: <P>.